A relaxed structure of Te2Pd4Pb3, computed with PBE.

Output
Mass density = 10.1 g/cm3
Final energy = -4.4813 eV/atom
Crystal system = monoclinic
DOS(E_F) = 6.86 states/eV per cell

Cell and atoms, written as POSCAR:
```
Te2Pd4Pb3
1.0
6.928 -0.666 -0.477
-0.444 8.157 0.144
-0.444 2.765 7.676
Te Pd Pb
4 8 6
Direct
0.327 0.147 0.448
0.173 0.552 0.853
0.673 0.853 0.552
0.827 0.448 0.147
0.361 0.915 0.287
0.139 0.713 0.085
0.639 0.085 0.713
0.861 0.287 0.915
0.939 0.177 0.438
0.561 0.562 0.823
0.061 0.823 0.562
0.439 0.438 0.177
0.954 0.962 0.201
0.546 0.799 0.038
0.046 0.038 0.799
0.454 0.201 0.962
0.250 0.544 0.456
0.750 0.456 0.544
```